LiReAsO: optimized geometry, PBE-GGA.

POSCAR file:
```
LiReAsO
1.0
3.909 0.000 0.000
0.000 5.769 0.000
0.000 0.000 4.929
Li Re As O
2 2 2 2
Direct
0.000 0.113 0.000
0.000 0.887 0.500
0.500 0.221 0.368
0.500 0.779 0.868
0.500 0.350 0.864
0.500 0.650 0.364
0.000 0.197 0.371
0.000 0.803 0.871
```

E_tot ... -6.57 eV per atom
Density ... 8.488 g cm⁻³

---

LiSmAsO: optimized geometry, PBE-GGA.

POSCAR file:
```
LiSmAsO
1.0
5.861 0.000 0.000
0.000 5.861 0.000
0.000 0.000 4.675
Li Sm As O
2 2 2 2
Direct
0.250 0.250 0.001
0.750 0.750 0.999
0.250 0.750 0.500
0.750 0.250 0.500
0.250 0.250 0.501
0.750 0.750 0.499
0.250 0.750 0.000
0.750 0.250 0.000
```

E_tot ... -5.36 eV per atom
Density ... 5.133 g cm⁻³

---

LiSmAsO: optimized geometry, PBE-GGA.

POSCAR file:
```
LiSmAsO
1.0
3.890 0.000 0.000
0.000 3.890 0.000
0.000 0.000 9.729
Li Sm As O
2 2 2 2
Direct
0.250 0.750 0.000
0.750 0.250 0.000
0.250 0.250 0.377
0.750 0.750 0.623
0.250 0.250 0.818
0.750 0.750 0.182
0.250 0.750 0.500
0.750 0.250 0.500
```

E_tot ... -5.88 eV per atom
Density ... 5.599 g cm⁻³

---

LiSmAsO: optimized geometry, PBE-GGA.

POSCAR file:
```
LiSmAsO
1.0
4.633 0.000 0.000
0.000 4.633 0.000
0.000 0.000 7.074
Li Sm As O
2 2 2 2
Direct
0.250 0.250 0.064
0.750 0.750 0.936
0.250 0.750 0.500
0.750 0.250 0.500
0.250 0.250 0.724
0.750 0.750 0.276
0.250 0.750 0.000
0.750 0.250 0.000
```

E_tot ... -4.47 eV per atom
Density ... 5.429 g cm⁻³

---

Li4SmAsO6: optimized geometry, PBE-GGA.

POSCAR file:
```
Li4SmAsO6
1.0
2.658 -4.823 0.000
2.658 4.823 0.000
-1.578 0.000 4.848
Li Sm As O
4 1 1 6
Direct
0.000 0.000 0.000
0.400 0.600 0.000
0.658 0.342 0.000
0.868 0.132 0.500
0.201 0.799 0.500
0.527 0.473 0.500
0.174 0.392 0.269
0.297 0.254 0.722
0.467 0.133 0.266
0.608 0.826 0.731
0.746 0.703 0.278
0.867 0.533 0.734
```

E_tot ... -5.97 eV per atom
Density ... 4.663 g cm⁻³

---

LiSmAsO: optimized geometry, PBE-GGA.

POSCAR file:
```
LiSmAsO
1.0
3.857 0.000 0.000
0.000 6.601 0.000
0.000 0.000 5.742
Li Sm As O
2 2 2 2
Direct
0.000 0.175 0.000
0.000 0.825 0.500
0.500 0.231 0.558
0.500 0.769 0.058
0.000 0.482 0.282
0.000 0.518 0.782
0.500 0.075 0.905
0.500 0.925 0.405
```

E_tot ... -5.73 eV per atom
Density ... 5.639 g cm⁻³

---

LiSmAsO: optimized geometry, PBE-GGA.

POSCAR file:
```
LiSmAsO
1.0
3.612 0.000 0.000
0.000 7.624 0.000
0.000 0.000 5.938
Li Sm As O
2 2 2 2
Direct
0.000 0.075 0.000
0.000 0.925 0.500
0.500 0.292 0.366
0.500 0.708 0.866
0.500 0.321 0.862
0.500 0.679 0.362
0.000 0.135 0.324
0.000 0.865 0.824
```

E_tot ... -5.74 eV per atom
Density ... 5.041 g cm⁻³

---

LiSmAsO: optimized geometry, PBE-GGA.

POSCAR file:
```
LiSmAsO
1.0
3.862 0.000 0.000
0.000 3.862 0.000
0.000 0.000 9.874
Li Sm As O
2 2 2 2
Direct
0.250 0.750 0.000
0.750 0.250 0.000
0.250 0.250 0.378
0.750 0.750 0.622
0.250 0.250 0.817
0.750 0.750 0.183
0.250 0.750 0.500
0.750 0.250 0.500
```

E_tot ... -5.88 eV per atom
Density ... 5.597 g cm⁻³